This record from Alexandria via LeMat-Bulk describes a relaxed Y2Be3Au9 crystal. The functional is GGA-PBE.

abc: 7.8122 7.8122 10.3459
angles: 89.78 112.15 120.39
Sites, in units of the cell vectors:
Y: 0.3395 0.2463 0.7517
Y: 0.6605 0.7537 0.2483
Y: 0.9946 0.5878 0.7483
Y: 0.0054 0.4122 0.2517
Be: 0.5000 0.0000 0.0000
Be: 0.5000 0.5000 0.5000
Be: 0.8636 0.1804 0.5018
Be: 0.1364 0.8196 0.4982
Be: 0.1786 0.3618 0.9982
Be: 0.8214 0.6382 0.0018
Au: 0.4320 0.9171 0.7410
Au: 0.5680 0.0829 0.2590
Au: 0.6760 0.6910 0.7590
Au: 0.3240 0.3090 0.2410
Au: 0.4368 0.6318 0.9253
Au: 0.5632 0.3682 0.0747
Au: 0.2065 0.5115 0.5747
Au: 0.7935 0.4885 0.4253
Au: 0.9077 0.1577 0.7500
Au: 0.0923 0.8423 0.2500
Au: 0.1408 0.9885 0.9427
Au: 0.8592 0.0115 0.0573
Au: 0.5457 0.1981 0.5573
Au: 0.4543 0.8019 0.4427
Au: 0.8779 0.8568 0.5679
Au: 0.1221 0.1432 0.4321
Au: 0.7889 0.3100 0.9321
Au: 0.2111 0.6900 0.0679

Results
**Theoretical density**: 13.39 g cm⁻³
**Uncorrected energy**: -4.27 eV/atom
**Formation energy**: -0.442 eV/atom